MgIn2Tc2 | GGA-PBE | relaxed

Cell: 6.8082 6.8082 4.1644 Å, 90.00 90.00 90.00°
Last column: nearest neighbours and their distance in Å.
Space group P4/mbm (No. 127)
Symmetry-distinct sites (fractional):
Mg 0.0000 0.0000 0.0000  4 Tc 2.70
In 0.1736 0.3264 0.5000  6 Tc 2.86-2.92
Tc 0.1227 0.6227 0.0000  1 Tc 2.36

Properties
energy of formation from the pure elements: 259 meV per atom
M_tot: 0.00 μB per atom